Density functional theory data (PBE-GGA) for a relaxed structure of SrPa2ZnN4.

```
16
Lattice="-2.040 2.950 -0.326 -3.841 -4.770 0.766 0.388 1.550 11.595" Properties=species:S:1:pos:R:3 pbc="T T T"
N -3.114 0.832 7.127
N -2.492 -1.556 1.518
N -1.672 1.355 2.829
Zn -1.590 -0.756 3.108
Pa -2.092 1.324 5.180
Pa -2.245 0.712 0.601
N -3.001 1.286 10.517
Pa -3.249 -0.982 11.434
N -2.379 -1.103 4.908
N 0.000 0.000 0.000
Sr -0.629 0.539 8.810
Sr -4.864 -0.809 3.225
Zn -3.903 0.486 8.927
Pa -3.402 -1.595 6.855
N 0.194 0.775 5.798
N -3.821 -1.625 9.206
```

Uncorrected formation energy in eV per atom: -1.1389
Space-group type: Cmcm